BeInW3: optimized geometry, GGA-PBE.

Cell lengths 4.8568, 4.8568, 4.8568 Å; angles 90.00, 90.00, 90.00 degrees
Closest atoms and distances in Å follow each position.
Fractional coordinates of all 5 atoms:
Be: 0.5000 0.5000 0.5000  12 W 3.43
In: 0.0000 0.0000 0.0000  6 W 2.43
W: 0.0000 0.5000 0.0000  2 In 2.43
W: 0.0000 0.0000 0.5000  2 In 2.43
W: 0.5000 0.0000 0.0000  2 In 2.43

Values from the calculation:
The calculated volume comes out at 22.913 A^3/atom. As for the formation energy: 314.6 kJ/mol of atoms. The size of the total moment comes out at 0.00 μB per cell. For the mass density, the calculation gives 9.8 g/cm3.